# PBE-GGA KRb2Ag2, optimized geometry
data_KRb2Ag2
_chemical_formula_sum 'K2 Rb4 Ag4'
_space_group_name_H-M_alt 'I 4/m m m'
_space_group_IT_number 139
_space_group_name_Hall '-I 4 2'
_cell_length_a 5.590
_cell_length_b 5.590
_cell_length_c 15.057
_cell_angle_alpha 90.00
_cell_angle_beta 90.00
_cell_angle_gamma 90.00
loop_
_atom_site_label
_atom_site_fract_x
_atom_site_fract_y
_atom_site_fract_z
K1 0.000 0.000 0.000
Rb1 0.000 0.500 0.250
Ag1 0.000 0.000 0.407
# - Total DFT energy (no corrections): -1.611 eV per atom
# - ρ: 3.01 g cm⁻³
# - Excess energy over the best structure of this formula in the dataset: 0.083 eV/atom
# - DOS at the Fermi energy: 0.687 states/eV per atom
# - Crystal system: tetragonal
# - Magnetization: 0.00 μB per formula unit

---

# PBE-GGA GdTm3, optimized geometry
data_GdTm3
_chemical_formula_sum 'Gd1 Tm3'
_space_group_name_H-M_alt 'P m m 2'
_space_group_IT_number 25
_space_group_name_Hall 'P 2 -2'
_cell_length_a 3.570
_cell_length_b 5.613
_cell_length_c 6.188
_cell_angle_alpha 90.00
_cell_angle_beta 90.00
_cell_angle_gamma 90.00
loop_
_atom_site_label
_atom_site_fract_x
_atom_site_fract_y
_atom_site_fract_z
Gd1 0.000 0.000 0.000
Tm1 0.000 0.500 0.664
Tm2 0.500 0.000 0.498
Tm3 0.500 0.500 0.167
# - Total DFT energy (no corrections): -6.871 eV per atom
# - ρ: 8.89 g cm⁻³
# - Excess energy over the best structure of this formula in the dataset: 0.004 eV/atom
# - DOS at the Fermi energy: 1.939 states/eV per atom
# - Crystal system: orthorhombic
# - Magnetization: 8.08 μB per formula unit

---

Look up the total DFT energy (no corrections) of the first one.
-1.611 eV per atom